Entry 1:
Ni2GeTe | GGA-PBE | relaxed

Summary:
* ΔE to the lowest computed polymorph: 179 meV/atom
* space-group type: No. 122

CIF file:
```
data_Ni2GeTe
_chemical_formula_sum 'Ni8 Ge4 Te4'
_cell_length_a 4.408
_cell_length_b 4.408
_cell_length_c 14.871
_cell_angle_alpha 90.00
_cell_angle_beta 90.00
_cell_angle_gamma 90.00
_symmetry_space_group_name_H-M 'P 1'
_symmetry_Int_Tables_number 1
loop_
_symmetry_equiv_pos_as_xyz
'x,y,z'
loop_
_atom_site_label
_atom_site_type_symbol
_atom_site_fract_x
_atom_site_fract_y
_atom_site_fract_z
_atom_site_occupancy
Ni1 Ni 0.201 0.250 0.125 1
Ni2 Ni 0.250 0.701 0.375 1
Ni3 Ni 0.250 0.799 0.875 1
Ni4 Ni 0.299 0.250 0.625 1
Ni5 Ni 0.701 0.750 0.625 1
Ni6 Ni 0.750 0.201 0.875 1
Ni7 Ni 0.750 0.299 0.375 1
Ni8 Ni 0.799 0.750 0.125 1
Ge1 Ge 0.000 0.000 0.000 1
Ge2 Ge 0.000 0.500 0.250 1
Ge3 Ge 0.500 0.000 0.750 1
Ge4 Ge 0.500 0.500 0.500 1
Te1 Te 0.000 0.000 0.500 1
Te2 Te 0.000 0.500 0.750 1
Te3 Te 0.500 0.000 0.250 1
Te4 Te 0.500 0.500 0.000 1
```

Entry 2:
Ni7Ge2Te | GGA-PBE | relaxed

Summary:
* space-group type: No. 139

CIF file:
```
data_Ni7Ge2Te
_chemical_formula_sum 'Ni7 Ge2 Te1'
_cell_length_a 9.706
_cell_length_b 9.706
_cell_length_c 9.706
_cell_angle_alpha 157.47
_cell_angle_beta 157.47
_cell_angle_gamma 32.08
_symmetry_space_group_name_H-M 'P 1'
_symmetry_Int_Tables_number 1
loop_
_symmetry_equiv_pos_as_xyz
'x,y,z'
loop_
_atom_site_label
_atom_site_type_symbol
_atom_site_fract_x
_atom_site_fract_y
_atom_site_fract_z
_atom_site_occupancy
Ni1 Ni 0.000 0.000 0.000 1
Ni2 Ni 0.099 0.599 0.500 1
Ni3 Ni 0.250 0.750 0.500 1
Ni4 Ni 0.401 0.901 0.500 1
Ni5 Ni 0.599 0.099 0.500 1
Ni6 Ni 0.750 0.250 0.500 1
Ni7 Ni 0.901 0.401 0.500 1
Ge1 Ge 0.174 0.174 0.000 1
Ge2 Ge 0.826 0.826 0.000 1
Te1 Te 0.500 0.500 0.000 1
```

Entry 3:
Ni2GeTe2 | GGA-PBE | relaxed

Summary:
* space-group type: No. 166

CIF file:
```
data_Ni2GeTe2
_chemical_formula_sum 'Ni6 Ge3 Te6'
_cell_length_a 3.960
_cell_length_b 3.960
_cell_length_c 21.249
_cell_angle_alpha 90.00
_cell_angle_beta 90.00
_cell_angle_gamma 120.00
_symmetry_space_group_name_H-M 'P 1'
_symmetry_Int_Tables_number 1
loop_
_symmetry_equiv_pos_as_xyz
'x,y,z'
loop_
_atom_site_label
_atom_site_type_symbol
_atom_site_fract_x
_atom_site_fract_y
_atom_site_fract_z
_atom_site_occupancy
Ni1 Ni 0.000 0.000 0.124 1
Ni2 Ni 0.000 0.000 0.876 1
Ni3 Ni 0.333 0.667 0.543 1
Ni4 Ni 0.333 0.667 0.791 1
Ni5 Ni 0.667 0.333 0.209 1
Ni6 Ni 0.667 0.333 0.457 1
Ge1 Ge 0.000 0.000 0.500 1
Ge2 Ge 0.333 0.667 0.167 1
Ge3 Ge 0.667 0.333 0.833 1
Te1 Te 0.000 0.000 0.274 1
Te2 Te 0.000 0.000 0.726 1
Te3 Te 0.333 0.667 0.393 1
Te4 Te 0.333 0.667 0.940 1
Te5 Te 0.667 0.333 0.060 1
Te6 Te 0.667 0.333 0.607 1
```

Entry 4:
Ni2GeTe | GGA-PBE | relaxed

Summary:
* ΔE to the lowest computed polymorph: 301 meV/atom
* space-group type: No. 225

CIF file:
```
data_Ni2GeTe
_chemical_formula_sum 'Ni8 Ge4 Te4'
_cell_length_a 6.317
_cell_length_b 6.317
_cell_length_c 6.317
_cell_angle_alpha 90.00
_cell_angle_beta 90.00
_cell_angle_gamma 90.00
_symmetry_space_group_name_H-M 'P 1'
_symmetry_Int_Tables_number 1
loop_
_symmetry_equiv_pos_as_xyz
'x,y,z'
loop_
_atom_site_label
_atom_site_type_symbol
_atom_site_fract_x
_atom_site_fract_y
_atom_site_fract_z
_atom_site_occupancy
Ni1 Ni 0.250 0.250 0.250 1
Ni2 Ni 0.250 0.250 0.750 1
Ni3 Ni 0.250 0.750 0.250 1
Ni4 Ni 0.250 0.750 0.750 1
Ni5 Ni 0.750 0.250 0.250 1
Ni6 Ni 0.750 0.250 0.750 1
Ni7 Ni 0.750 0.750 0.250 1
Ni8 Ni 0.750 0.750 0.750 1
Ge1 Ge 0.000 0.000 0.000 1
Ge2 Ge 0.000 0.500 0.500 1
Ge3 Ge 0.500 0.000 0.500 1
Ge4 Ge 0.500 0.500 0.000 1
Te1 Te 0.000 0.000 0.500 1
Te2 Te 0.000 0.500 0.000 1
Te3 Te 0.500 0.000 0.000 1
Te4 Te 0.500 0.500 0.500 1
```

| no. | formation energy without anion corrections (eV/atom) | calculated volume (Å³/f.u.) |
| --- | --- | --- |
| 1 | 0.0117 | 72 |
| 2 | -0.1073 | 134 |
| 3 | -0.1189 | 96 |
| 4 | 0.1330 | 63 |